The following is a PBEsol calculation of a geometry-optimized HoGa2Pd structure, from the Alexandria database.

ΔH_f (0 K): -850 meV per atom
DOS(E_F): 0.4518 states/eV/atom

abc: 4.3616 9.9694 6.4845
angles: 90.00 90.00 90.00
Closest atoms and distances in Å follow each position.
Space group Cmcm (No. 63)
Inequivalent atoms, fractional coordinates:
Ho1 0.0000 0.0885 0.2500 x4  3 Pd 2.88-3.03, 6 Ga 2.96-3.11
Ga1 0.0000 0.3728 0.0531 x8  2 Ga 2.55-2.63, 3 Pd 2.61-2.63
Pd1 0.0000 0.2007 0.7500 x4  6 Ga 2.61-2.63, 1 Ho 2.88